Here is a relaxed BaCaCr2 crystal from Alexandria. Energies are from PBE.

## Properties
- Calculated formation energy: 89 kJ per mole of atoms
- Calculated volume: 238 Å³/cell
- Total DFT energy (no corrections): -4.87 eV/atom
- N(E_F): 5.1 states/eV/f.u.

abc: 5.5086 5.5086 7.8483
angles: 90.00 90.00 90.00
Space group I-4m2 (No. 119)
Unique sites:
Ba  0.0000  0.0000  0.0000 (multiplicity 2)
Ca  0.0000  0.5000  0.7500 (multiplicity 2)
Cr  0.0000  0.0000  0.5000 (multiplicity 2)
Cr  0.0000  0.5000  0.2500 (multiplicity 2)

***

Here is a relaxed KAcBr4 crystal from Alexandria. Energies are from PBE.

## Properties
- E_form (uncorrected): -1950 meV/atom
- Calculated volume: 221 Å³/cell
- Total DFT energy (no corrections): -3.93 eV/atom
- N(E_F): 0.0 states/eV/f.u.

abc: 5.2871 5.2871 7.9092
angles: 90.00 90.00 90.00
Space group P4/mmm (No. 123)
Unique sites:
K  0.0000  0.0000  0.0000 (multiplicity 1)
Ac  0.5000  0.5000  0.5000 (multiplicity 1)
Br  0.0000  0.5000  0.2717 (multiplicity 4)

***

Here is a relaxed MgCrSb crystal from Alexandria. Energies are from PBE.

## Properties
- E_form (uncorrected): 233 meV/atom
- Calculated volume: 108 Å³/cell
- Total DFT energy (no corrections): -4.88 eV/atom
- N(E_F): 1.4 states/eV/f.u.

abc: 3.4076 3.4076 9.3377
angles: 90.00 90.00 90.00
Space group I4mm (No. 107)
Unique sites:
Mg  0.0000  0.0000  0.0000 (multiplicity 2)
Cr  0.0000  0.0000  0.6718 (multiplicity 2)
Sb  0.0000  0.0000  0.3069 (multiplicity 2)

***

Here is a relaxed YRu3O crystal from Alexandria. Energies are from PBE.

## Properties
- E_form (uncorrected): -119 meV/atom
- Calculated volume: 74 Å³/cell
- Total DFT energy (no corrections): -7.97 eV/atom
- N(E_F): 4.0 states/eV/f.u.

abc: 4.1987 4.1987 4.1987
angles: 90.00 90.00 90.00
Space group Pm-3m (No. 221)
Unique sites:
Y  0.0000  0.0000  0.0000 (multiplicity 1)
Ru  0.0000  0.5000  0.5000 (multiplicity 3)
O  0.5000  0.5000  0.5000 (multiplicity 1)

***

Here is a relaxed Zn8NiAu2 crystal from Alexandria. Energies are from PBE.

## Properties
- Calculated formation energy: -14 kJ per mole of atoms
- Calculated volume: 340 Å³/cell
- Total DFT energy (no corrections): -2.20 eV/atom
- N(E_F): 3.0 states/eV/f.u.

abc: 4.1168 7.1965 11.4794
angles: 90.00 90.00 90.00
Space group Immm (No. 71)
Unique sites:
Zn  0.0000  0.0000  0.1491 (multiplicity 4)
Zn  0.0000  0.2287  0.3564 (multiplicity 8)
Zn  0.0000  0.2772  0.0000 (multiplicity 4)
Ni  0.0000  0.5000  0.5000 (multiplicity 2)
Au  0.0000  0.5000  0.1905 (multiplicity 4)

***

Here is a relaxed Ca4NiAu crystal from Alexandria. Energies are from PBE.

## Properties
- Calculated formation energy: -33 kJ per mole of atoms
- Calculated volume: 695 Å³/cell
- Total DFT energy (no corrections): -3.19 eV/atom
- N(E_F): 4.4 states/eV/f.u.

abc: 9.3352 13.6307 6.5726
angles: 90.00 123.78 90.00
Space group C2/c (No. 15)
Unique sites:
Ca  0.1222  0.1763  0.0932 (multiplicity 8)
Ca  0.2060  0.4412  0.2742 (multiplicity 8)
Ni  0.0000  0.0026  0.2500 (multiplicity 4)
Au  0.0000  0.3646  0.7500 (multiplicity 4)

***

Here is a relaxed ReNiBr2 crystal from Alexandria. Energies are from PBE.

## Properties
- E_form (uncorrected): 1312 meV/atom
- Calculated volume: 160 Å³/cell
- Total DFT energy (no corrections): -4.08 eV/atom
- N(E_F): 3.4 states/eV/f.u.

abc: 3.6940 3.6940 11.7528
angles: 90.00 90.00 90.00
Space group I-4m2 (No. 119)
Unique sites:
Re  0.0000  0.0000  0.0000 (multiplicity 2)
Ni  0.0000  0.5000  0.2500 (multiplicity 2)
Br  0.0000  0.0000  0.5000 (multiplicity 2)
Br  0.0000  0.5000  0.7500 (multiplicity 2)

***

Here is a relaxed LiMg2Zr crystal from Alexandria. Energies are from PBE.

## Properties
- Calculated formation energy: 15 kJ per mole of atoms
- Calculated volume: 173 Å³/cell
- Total DFT energy (no corrections): -3.25 eV/atom
- N(E_F): 3.2 states/eV/f.u.

abc: 3.0413 5.2852 10.7850
angles: 90.00 90.00 90.00
Space group Imm2 (No. 44)
Unique sites:
Li  0.0000  0.0000  0.0000 (multiplicity 2)
Mg  0.0000  0.0000  0.4756 (multiplicity 2)
Mg  0.0000  0.5000  0.7289 (multiplicity 2)
Zr  0.0000  0.5000  0.2366 (multiplicity 2)